MgVCu: optimized geometry, PBE.

abc: 2.762 5.566 6.388
angles: 95.92 102.36 104.16
Space group P1 (No. 1)
Inequivalent atoms, fractional coordinates:
1 Mg 0.000 0.000 0.000
2 Mg 0.372 0.147 0.601
3 V 0.145 0.643 0.645
4 V 0.526 0.721 0.331
5 Cu 0.731 0.490 0.966
6 Cu 0.794 0.296 0.297

Summary:
Formation energy from the elements   0.209 eV per atom
Density of states at the Fermi level   4.08 states/eV per cell
Total magnetization   0.01 μB/cell